# 1
The following is a PBE calculation of an optimized crystal structure of Pr5Sm6Pb, from Alexandria via LeMat-Bulk.

For the formation energy, the calculation gives -6.58 kJ/mol of atoms. The uncorrected energy is -56.739 eV per cell. The space group is Immm.

Cell: 5.062 9.658 9.658 Å, 107.08 105.17 105.17°
Atoms (fractional coordinates):
1 Pr 0.500 0.170 0.830
2 Pr 0.000 0.338 0.662
3 Pr 0.500 0.500 0.500
4 Pr 0.000 0.662 0.338
5 Pr 0.500 0.830 0.170
6 Pb 0.000 0.000 0.000
7 Sm 0.243 0.080 0.407
8 Sm 0.757 0.593 0.920
9 Sm 0.741 0.242 0.242
10 Sm 0.259 0.758 0.758
11 Sm 0.243 0.407 0.080
12 Sm 0.757 0.920 0.593

# 2
The following is a PBE calculation of an optimized crystal structure of BaPdPb2Au, from Alexandria via LeMat-Bulk.

For the formation energy, the calculation gives -22.64 kJ/mol of atoms. The distance to the lowest polymorph of the same formula is 0.85 eV/f.u. The uncorrected energy is -18.983 eV per cell. The space group is P4/mmm.

Cell: 5.343 5.385 5.343 Å, 90.00 90.00 90.00°
Atoms (fractional coordinates):
1 Pb 0.000 0.000 0.500
2 Pb 0.500 0.000 0.000
3 Au 0.000 0.500 0.000
4 Ba 0.500 0.500 0.500
5 Pd 0.000 0.000 0.000